(1)
This record from the Alexandria database describes an optimized crystal structure of SmAl12Pd4. The functional is PBE.

Values from the calculation:
For the magnetic moment, the calculation gives 0.000 μB/cell. The energy of formation comes out at -3.41 eV per formula unit. As for the theoretical density: 4.4 g cm⁻³. Its space group is Im-3.

abc: 7.5972 7.5972 7.5972
angles: 109.47 109.47 109.47
Fractional positions:
Sm: 0.0000 0.0000 0.0000
Al: 0.1581 0.5012 0.3430
Al: 0.1581 0.8151 0.6570
Al: 0.1849 0.3430 0.8419
Al: 0.3430 0.1581 0.5012
Al: 0.3430 0.8419 0.1849
Al: 0.4988 0.6570 0.8419
Al: 0.5012 0.3430 0.1581
Al: 0.6570 0.1581 0.8151
Al: 0.6570 0.8419 0.4988
Al: 0.8151 0.6570 0.1581
Al: 0.8419 0.1849 0.3430
Al: 0.8419 0.4988 0.6570
Pd: 0.0000 0.0000 0.5000
Pd: 0.0000 0.5000 0.0000
Pd: 0.5000 0.0000 0.0000
Pd: 0.5000 0.5000 0.5000

(2)
This record from the Alexandria database describes an optimized crystal structure of GdPu2Sn. The functional is PBE.

Values from the calculation:
For the magnetic moment, the calculation gives 20.424 μB/cell. The distance to the lowest polymorph of the same formula is 266 meV/atom. The energy of formation comes out at -0.19 eV per formula unit. As for the theoretical density: 11.5 g cm⁻³. Its space group is Fm-3m.

abc: 5.3819 5.3819 5.3819
angles: 60.00 60.00 60.00
Fractional positions:
Gd: 0.0000 0.0000 0.0000
Pu: 0.2500 0.2500 0.2500
Pu: 0.7500 0.7500 0.7500
Sn: 0.5000 0.5000 0.5000

(3)
This record from the Alexandria database describes an optimized crystal structure of PmMg4Ga2. The functional is PBE.

Values from the calculation:
For the magnetic moment, the calculation gives 0.000 μB/cell. The distance to the lowest polymorph of the same formula is 13 meV/atom. The energy of formation comes out at -1.92 eV per formula unit. As for the theoretical density: 4.1 g cm⁻³. Its space group is P4_2/mnm.

abc: 8.4753 8.4753 4.3523
angles: 90.00 90.00 90.00
Fractional positions:
Pm: 0.0000 0.0000 0.0000
Pm: 0.5000 0.5000 0.5000
Mg: 0.0953 0.3362 0.5000
Mg: 0.1638 0.5953 0.0000
Mg: 0.3362 0.0953 0.5000
Mg: 0.4047 0.8362 0.0000
Mg: 0.5953 0.1638 0.0000
Mg: 0.6638 0.9047 0.5000
Mg: 0.8362 0.4047 0.0000
Mg: 0.9047 0.6638 0.5000
Ga: 0.1988 0.8012 0.5000
Ga: 0.3012 0.3012 0.0000
Ga: 0.6988 0.6988 0.0000
Ga: 0.8012 0.1988 0.5000

(4)
This record from the Alexandria database describes an optimized crystal structure of V3Tc2Mo8. The functional is PBE.

Values from the calculation:
For the magnetic moment, the calculation gives 0.000 μB/cell. The energy of formation comes out at 5.56 eV per formula unit. As for the theoretical density: 8.8 g cm⁻³. Its space group is Cmmm.

abc: 7.6401 7.6401 4.5663
angles: 90.00 90.00 127.58
Fractional positions:
V: 0.0000 0.0000 0.0000
V: 0.2952 0.2952 0.5000
V: 0.7048 0.7048 0.5000
Tc: 0.2167 0.7833 0.0000
Tc: 0.7833 0.2167 0.0000
Mo: 0.1209 0.8791 0.5000
Mo: 0.1890 0.4046 0.0000
Mo: 0.3307 0.6693 0.5000
Mo: 0.4046 0.1890 0.0000
Mo: 0.5954 0.8110 0.0000
Mo: 0.6693 0.3307 0.5000
Mo: 0.8110 0.5954 0.0000
Mo: 0.8791 0.1209 0.5000